This record from Alexandria describes a geometry-optimized Be2AsPt structure. The functional is PBE.

a = 2.793 Å, b = 3.339 Å, c = 5.811 Å
α = 90.00°, β = 90.00°, γ = 90.00°
Sites, in units of the cell vectors:
Be 0.000 0.000 0.025
Be 0.500 0.500 0.245
As 0.500 0.500 0.823
Pt 0.000 0.000 0.406

The energy of formation comes out at -130 meV per atom.

---

This record from Alexandria describes a geometry-optimized YZnW2 structure. The functional is PBE.

a = 3.947 Å, b = 3.947 Å, c = 4.735 Å
α = 90.00°, β = 90.00°, γ = 90.00°
Sites, in units of the cell vectors:
W 0.000 0.000 0.000
W 0.500 0.500 0.000
Y 0.500 0.000 0.500
Zn 0.000 0.500 0.500

The energy of formation comes out at 465 meV per atom.

---

This record from Alexandria describes a geometry-optimized TlAgS2 structure. The functional is PBE.

a = 3.959 Å, b = 3.959 Å, c = 6.932 Å
α = 90.00°, β = 90.00°, γ = 120.00°
Sites, in units of the cell vectors:
Tl 0.000 0.000 0.991
S 0.333 0.667 0.788
S 0.667 0.333 0.240
Ag 0.333 0.667 0.435

The calculation puts the calculated total energy at -3.42 eV/atom.

---

This record from Alexandria describes a geometry-optimized CaLaIn structure. The functional is PBE.

a = 5.615 Å, b = 5.615 Å, c = 7.075 Å
α = 90.00°, β = 90.00°, γ = 120.00°
Sites, in units of the cell vectors:
Ca 0.000 0.000 0.000
Ca 0.000 0.000 0.500
In 0.333 0.667 0.250
In 0.667 0.333 0.750
La 0.333 0.667 0.750
La 0.667 0.333 0.250

Its energy relative to the lowest polymorph listed for this composition is 0.00 eV/f.u. The energy of formation comes out at -445 meV per atom.

---

This record from Alexandria describes a geometry-optimized Na4B7C structure. The functional is PBE.

a = 5.097 Å, b = 6.025 Å, c = 8.656 Å
α = 90.00°, β = 90.00°, γ = 90.00°
Sites, in units of the cell vectors:
Na 0.000 0.000 0.999
Na 0.000 0.000 0.501
Na 0.500 0.250 0.998
Na 0.500 0.250 0.502
Na 0.000 0.500 0.998
Na 0.000 0.500 0.502
Na 0.500 0.750 0.999
Na 0.500 0.750 0.501
C 0.823 0.757 0.250
C 0.323 0.993 0.250
B 0.174 0.250 0.750
B 0.817 0.253 0.250
B 0.196 0.234 0.250
B 0.826 0.250 0.750
B 0.674 0.500 0.750
B 0.317 0.497 0.250
B 0.696 0.516 0.250
B 0.326 0.500 0.750
B 0.174 0.750 0.750
B 0.164 0.760 0.250
B 0.826 0.750 0.750
B 0.674 0.000 0.750
B 0.664 0.990 0.250
B 0.326 0.000 0.750

Its energy relative to the lowest polymorph listed for this composition is 0.34 eV/f.u. The energy of formation comes out at 250 meV per atom.

---

This record from Alexandria describes a geometry-optimized Ba2SnSb2 structure. The functional is PBE.

a = 8.420 Å, b = 8.420 Å, c = 5.181 Å
α = 90.00°, β = 90.00°, γ = 90.00°
Sites, in units of the cell vectors:
Sb 0.377 0.877 0.000
Sb 0.877 0.623 0.000
Sb 0.623 0.123 0.000
Sb 0.123 0.377 0.000
Ba 0.179 0.679 0.500
Ba 0.679 0.821 0.500
Ba 0.821 0.321 0.500
Ba 0.321 0.179 0.500
Sn 0.000 0.000 0.000
Sn 0.500 0.500 0.000

Its energy relative to the lowest polymorph listed for this composition is 0.19 eV/f.u.